# PaAlW, relaxed, DFT PBE-GGA
data_PaAlW
_chemical_formula_sum 'Pa1 Al1 W1'
_cell_length_a 4.6206
_cell_length_b 4.6206
_cell_length_c 4.6206
_cell_angle_alpha 60.00
_cell_angle_beta 60.00
_cell_angle_gamma 60.00
_symmetry_space_group_name_H-M 'P 1'
_symmetry_Int_Tables_number 1
_symmetry_space_group_name_Hall 'P 1'
loop_
_atom_site_label
_atom_site_fract_x
_atom_site_fract_y
_atom_site_fract_z
Pa1 0.2500 0.2500 0.2500
W1 0.0000 0.0000 0.0000
Al1 0.5000 0.5000 0.5000
# space-group type: F-43m
# excess energy over the best structure of this formula in the dataset: 0.558 eV per atom


# PaGePO, relaxed, DFT PBE-GGA
data_PaGePO
_chemical_formula_sum 'Pa2 Ge2 P2 O2'
_cell_length_a 4.1568
_cell_length_b 5.9658
_cell_length_c 6.1556
_cell_angle_alpha 90.00
_cell_angle_beta 90.00
_cell_angle_gamma 90.00
_symmetry_space_group_name_H-M 'P 1'
_symmetry_Int_Tables_number 1
_symmetry_space_group_name_Hall 'P 1'
loop_
_atom_site_label
_atom_site_fract_x
_atom_site_fract_y
_atom_site_fract_z
Ge1 0.0000 0.8720 0.4932
P1 0.0000 0.4243 0.2739
O1 0.5000 0.0709 0.9049
P2 0.0000 0.5757 0.7739
Ge2 0.0000 0.1280 0.9932
O2 0.5000 0.9291 0.4049
Pa1 0.5000 0.7274 0.0820
Pa2 0.5000 0.2726 0.5820
# space-group type: Pmc2_1
# excess energy over the best structure of this formula in the dataset: 0.253 eV per atom


# Hf4InC2S, relaxed, DFT PBE-GGA
data_Hf4InC2S
_chemical_formula_sum 'Hf4 In1 C2 S1'
_cell_length_a 3.3507
_cell_length_b 3.3507
_cell_length_c 13.4448
_cell_angle_alpha 90.00
_cell_angle_beta 90.00
_cell_angle_gamma 120.00
_symmetry_space_group_name_H-M 'P 1'
_symmetry_Int_Tables_number 1
_symmetry_space_group_name_Hall 'P 1'
loop_
_atom_site_label
_atom_site_fract_x
_atom_site_fract_y
_atom_site_fract_z
Hf1 0.0000 0.0000 0.6352
Hf2 0.0000 0.0000 0.3648
C1 0.3333 0.6667 0.2736
C2 0.3333 0.6667 0.7264
In1 0.0000 0.0000 0.0000
S1 0.6667 0.3333 0.5000
Hf3 0.6667 0.3333 0.8157
Hf4 0.6667 0.3333 0.1843
# space-group type: P-6m2


# PrSeS, relaxed, DFT PBE-GGA
data_PrSeS
_chemical_formula_sum 'Pr4 Se4 S4'
_cell_length_a 8.4431
_cell_length_b 4.1804
_cell_length_c 8.2816
_cell_angle_alpha 90.00
_cell_angle_beta 90.01
_cell_angle_gamma 90.00
_symmetry_space_group_name_H-M 'P 1'
_symmetry_Int_Tables_number 1
_symmetry_space_group_name_Hall 'P 1'
loop_
_atom_site_label
_atom_site_fract_x
_atom_site_fract_y
_atom_site_fract_z
S1 0.9977 0.1526 0.3949
Pr1 0.2649 0.2154 0.1288
Se1 0.3683 0.7587 0.8750
Pr2 0.2649 0.2846 0.6288
Pr3 0.7351 0.7846 0.8712
S2 0.0023 0.6526 0.1051
Se2 0.6317 0.2587 0.6250
Pr4 0.7351 0.7154 0.3712
Se3 0.3683 0.7413 0.3750
Se4 0.6317 0.2413 0.1250
S3 0.0023 0.8474 0.6051
S4 0.9977 0.3474 0.8949
# space-group type: P2_1/c
# excess energy over the best structure of this formula in the dataset: 0.054 eV per atom


# TlCuS, relaxed, DFT PBE-GGA
data_TlCuS
_chemical_formula_sum 'Tl2 Cu2 S2'
_cell_length_a 3.9425
_cell_length_b 3.9425
_cell_length_c 8.2369
_cell_angle_alpha 90.00
_cell_angle_beta 90.00
_cell_angle_gamma 90.00
_symmetry_space_group_name_H-M 'P 1'
_symmetry_Int_Tables_number 1
_symmetry_space_group_name_Hall 'P 1'
loop_
_atom_site_label
_atom_site_fract_x
_atom_site_fract_y
_atom_site_fract_z
Cu1 0.0000 0.0000 0.0000
Tl1 0.5000 0.0000 0.3356
Cu2 0.5000 0.5000 0.0000
S1 0.0000 0.5000 0.1693
Tl2 0.0000 0.5000 0.6644
S2 0.5000 0.0000 0.8307
# space-group type: P4/nmm


# LiTb2Pd5, relaxed, DFT PBE-GGA
data_LiTb2Pd5
_chemical_formula_sum 'Li1 Tb2 Pd5'
_cell_length_a 5.7943
_cell_length_b 5.7943
_cell_length_c 5.7918
_cell_angle_alpha 118.16
_cell_angle_beta 118.16
_cell_angle_gamma 93.21
_symmetry_space_group_name_H-M 'P 1'
_symmetry_Int_Tables_number 1
_symmetry_space_group_name_Hall 'P 1'
loop_
_atom_site_label
_atom_site_fract_x
_atom_site_fract_y
_atom_site_fract_z
Pd1 0.2775 0.2775 0.0000
Li1 0.7792 0.7792 0.0000
Tb1 0.2777 0.7777 0.5000
Tb2 0.7777 0.2777 0.5000
Pd2 0.7776 0.7776 0.4996
Pd3 0.7776 0.2779 0.0000
Pd4 0.2779 0.7776 0.0000
Pd5 0.2779 0.2779 0.5004
# space-group type: I4mm


# NaSnHg3O4, relaxed, DFT PBE-GGA
data_NaSnHg3O4
_chemical_formula_sum 'Na1 Sn1 Hg3 O4'
_cell_length_a 5.9660
_cell_length_b 5.9660
_cell_length_c 5.9660
_cell_angle_alpha 90.00
_cell_angle_beta 90.00
_cell_angle_gamma 90.00
_symmetry_space_group_name_H-M 'P 1'
_symmetry_Int_Tables_number 1
_symmetry_space_group_name_Hall 'P 1'
loop_
_atom_site_label
_atom_site_fract_x
_atom_site_fract_y
_atom_site_fract_z
Hg1 0.5000 0.0000 0.5000
O1 0.3024 0.6976 0.6976
O2 0.6976 0.6976 0.3024
O3 0.6976 0.3024 0.6976
Hg2 0.5000 0.5000 0.0000
O4 0.3024 0.3024 0.3024
Sn1 0.5000 0.5000 0.5000
Hg3 0.0000 0.5000 0.5000
Na1 0.0000 0.0000 0.0000
# space-group type: P-43m


# AcTbO3, relaxed, DFT PBE-GGA
data_AcTbO3
_chemical_formula_sum 'Ac4 Tb4 O12'
_cell_length_a 6.0089
_cell_length_b 6.2009
_cell_length_c 8.6300
_cell_angle_alpha 90.00
_cell_angle_beta 90.00
_cell_angle_gamma 90.00
_symmetry_space_group_name_H-M 'P 1'
_symmetry_Int_Tables_number 1
_symmetry_space_group_name_Hall 'P 1'
loop_
_atom_site_label
_atom_site_fract_x
_atom_site_fract_y
_atom_site_fract_z
Ac1 0.5140 0.5485 0.2500
O1 0.6191 0.0530 0.7500
Tb1 0.0000 0.5000 0.0000
O2 0.1955 0.1973 0.9363
Tb2 0.5000 0.0000 0.5000
O3 0.1955 0.1973 0.5637
O4 0.8045 0.8027 0.0637
O5 0.1191 0.4470 0.2500
Tb3 0.5000 0.0000 0.0000
O6 0.3045 0.6973 0.9363
Tb4 0.0000 0.5000 0.5000
O7 0.8045 0.8027 0.4363
O8 0.6955 0.3027 0.4363
O9 0.6955 0.3027 0.0637
Ac2 0.0140 0.9515 0.7500
Ac3 0.9860 0.0485 0.2500
O10 0.3809 0.9470 0.2500
O11 0.3045 0.6973 0.5637
Ac4 0.4860 0.4515 0.7500
O12 0.8809 0.5530 0.7500
# space-group type: Pnma


# Y2ErP3, relaxed, DFT PBE-GGA
data_Y2ErP3
_chemical_formula_sum 'Y2 Er1 P3'
_cell_length_a 3.9969
_cell_length_b 3.9969
_cell_length_c 9.7828
_cell_angle_alpha 90.00
_cell_angle_beta 90.00
_cell_angle_gamma 120.00
_symmetry_space_group_name_H-M 'P 1'
_symmetry_Int_Tables_number 1
_symmetry_space_group_name_Hall 'P 1'
loop_
_atom_site_label
_atom_site_fract_x
_atom_site_fract_y
_atom_site_fract_z
P1 0.3333 0.6667 0.3358
P2 0.0000 0.0000 0.0000
Y1 0.3333 0.6667 0.8324
P3 0.6667 0.3333 0.6642
Er1 0.0000 0.0000 0.5000
Y2 0.6667 0.3333 0.1676
# space-group type: P-3m1


# PrHgSeO, relaxed, DFT PBE-GGA
data_PrHgSeO
_chemical_formula_sum 'Pr4 Hg4 Se4 O4'
_cell_length_a 5.8783
_cell_length_b 5.8962
_cell_length_c 11.6475
_cell_angle_alpha 90.00
_cell_angle_beta 93.92
_cell_angle_gamma 90.00
_symmetry_space_group_name_H-M 'P 1'
_symmetry_Int_Tables_number 1
_symmetry_space_group_name_Hall 'P 1'
loop_
_atom_site_label
_atom_site_fract_x
_atom_site_fract_y
_atom_site_fract_z
Hg1 0.9820 0.3638 0.3284
Pr1 0.4911 0.8026 0.9013
Hg2 0.3004 0.6039 0.5035
O1 0.7539 0.5498 0.9994
Se1 0.7182 0.5633 0.7010
O2 0.7512 0.0510 0.0004
Se2 0.6701 0.6604 0.2838
Hg3 0.0180 0.8638 0.6716
O3 0.2461 0.0498 0.0006
Se3 0.3299 0.1604 0.7162
Hg4 0.6996 0.1039 0.4965
Se4 0.2818 0.0633 0.2990
O4 0.2488 0.5510 0.9996
Pr2 0.5089 0.3026 0.0987
Pr3 0.0127 0.8052 0.1008
Pr4 0.9873 0.3052 0.8992
# space-group type: P2_1
# excess energy over the best structure of this formula in the dataset: 0.000 eV per atom


# LaTcGe3, relaxed, DFT PBE-GGA
data_LaTcGe3
_chemical_formula_sum 'La2 Tc2 Ge6'
_cell_length_a 6.1682
_cell_length_b 6.1682
_cell_length_c 5.9913
_cell_angle_alpha 90.00
_cell_angle_beta 90.00
_cell_angle_gamma 60.00
_symmetry_space_group_name_H-M 'P 1'
_symmetry_Int_Tables_number 1
_symmetry_space_group_name_Hall 'P 1'
loop_
_atom_site_label
_atom_site_fract_x
_atom_site_fract_y
_atom_site_fract_z
Ge1 0.1932 0.6136 0.7500
Ge2 0.8068 0.3864 0.2500
Tc1 0.0000 0.0000 0.0000
Ge3 0.8068 0.8068 0.2500
Ge4 0.1932 0.1932 0.7500
La1 0.3333 0.3333 0.2499
Ge5 0.6136 0.1932 0.7500
Tc2 0.0000 0.0000 0.5000
Ge6 0.3864 0.8068 0.2500
La2 0.6667 0.6667 0.7501
# space-group type: P6_3/mmc


Number 1: calculated density 10.52 g/cm³, uncorrected energy -7.52 eV per atom. Number 2: calculated density 7.63 g/cm³, uncorrected energy -6.85 eV per atom. Number 3: calculated density 11.24 g/cm³, uncorrected energy -9.17 eV per atom. Number 4: calculated density 5.72 g/cm³, uncorrected energy -5.78 eV per atom. Number 5: calculated density 7.78 g/cm³, uncorrected energy -3.65 eV per atom. Number 6: calculated density 10.09 g/cm³, uncorrected energy -5.47 eV per atom. Number 7: calculated density 6.31 g/cm³, uncorrected energy -3.32 eV per atom. Number 8: calculated density 8.96 g/cm³, uncorrected energy -8.15 eV per atom. Number 9: calculated density 5.37 g/cm³, uncorrected energy -7.24 eV per atom. Number 10: calculated density 7.20 g/cm³, uncorrected energy -5.17 eV per atom. Number 11: calculated density 7.65 g/cm³, uncorrected energy -6.35 eV per atom.